Entry 1:
A geometry-optimized Tl3HgPb3 structure, computed with PBE.

POSCAR file:
```
Tl3HgPb3
1.0
-0.752 -1.084 5.724
0.067 -9.731 -1.835
8.470 4.723 2.007
Tl Pb Hg
6 6 2
direct
0.750 0.778 0.220
0.750 0.780 0.558
0.250 0.558 0.778
0.250 0.220 0.442
0.250 0.222 0.780
0.750 0.442 0.222
0.250 0.883 0.116
0.250 0.884 0.767
0.250 0.233 0.117
0.750 0.767 0.883
0.750 0.117 0.884
0.750 0.116 0.233
0.250 0.667 0.333
0.750 0.333 0.667
```

Results
E_form in eV/atom: 0.10
Fermi-level density of states in states/eV/cell: 7.58
Magnetization in μB/cell: 0.00



Entry 2:
A geometry-optimized Tl12HgPb7 structure, computed with PBE.

POSCAR file:
```
Tl12HgPb7
1.0
9.152 -0.063 -0.095
-2.606 8.774 -0.095
-2.606 -3.467 8.060
Hg Tl Pb
1 12 7
direct
0.000 0.000 0.000
0.384 0.214 0.670
0.786 0.330 0.616
0.406 0.063 0.299
0.214 0.670 0.384
0.937 0.701 0.594
0.594 0.937 0.701
0.063 0.299 0.406
0.701 0.594 0.937
0.330 0.616 0.786
0.299 0.406 0.063
0.616 0.786 0.330
0.670 0.384 0.214
0.500 0.500 0.500
0.896 0.311 0.003
0.003 0.896 0.311
0.997 0.104 0.689
0.689 0.997 0.104
0.104 0.689 0.997
0.311 0.003 0.896
```

Results
E_form in eV/atom: 0.04
Fermi-level density of states in states/eV/cell: 7.47
Magnetization in μB/cell: 0.00



Entry 3:
A geometry-optimized TlHg8Pb2 structure, computed with PBE.

POSCAR file:
```
TlHg8Pb2
1.0
3.256 0.081 -0.971
-0.818 10.585 -2.305
0.680 1.467 8.471
Tl Hg Pb
1 8 2
direct
0.500 0.000 0.000
0.058 0.727 0.097
0.942 0.273 0.903
0.590 0.450 0.168
0.410 0.550 0.832
0.876 0.817 0.733
0.674 0.912 0.371
0.124 0.183 0.267
0.326 0.088 0.629
0.223 0.634 0.458
0.777 0.366 0.542
```

Results
E_form in eV/atom: 0.02
Fermi-level density of states in states/eV/cell: 3.64
Magnetization in μB/cell: 0.00



Entry 4:
A geometry-optimized Tl2Hg2Pb15 structure, computed with PBE.

POSCAR file:
```
Tl2Hg2Pb15
1.0
-7.344 -4.287 -1.990
3.141 -5.474 -6.037
1.111 -7.101 4.961
Pb Tl Hg
15 2 2
direct
0.352 0.352 0.840
0.160 0.648 0.648
0.648 0.160 0.648
0.307 0.693 0.000
0.000 0.693 0.307
0.648 0.648 0.160
0.500 0.000 0.000
0.352 0.840 0.352
0.000 0.307 0.693
0.693 0.307 0.000
0.307 0.000 0.693
0.000 0.000 0.500
0.000 0.500 0.000
0.840 0.352 0.352
0.693 0.000 0.307
0.902 0.902 0.902
0.098 0.098 0.098
0.672 0.672 0.672
0.328 0.328 0.328
```

Results
E_form in eV/atom: 0.10
Fermi-level density of states in states/eV/cell: 9.76
Magnetization in μB/cell: 0.00



Entry 5:
A geometry-optimized TlHgPb14 structure, computed with PBE.

POSCAR file:
```
TlHgPb14
1.0
7.095 -0.015 0.000
0.015 7.095 0.000
0.000 0.000 9.887
Hg Pb Tl
1 14 1
direct
0.375 0.375 0.500
0.375 0.875 0.000
0.875 0.375 0.500
0.624 0.126 0.748
0.875 0.875 0.000
0.624 0.624 0.748
0.875 0.375 0.000
0.624 0.126 0.252
0.126 0.624 0.252
0.375 0.875 0.500
0.126 0.624 0.748
0.126 0.126 0.252
0.126 0.126 0.748
0.375 0.375 0.000
0.624 0.624 0.252
0.875 0.875 0.500
```

Results
E_form in eV/atom: 0.01
Fermi-level density of states in states/eV/cell: 6.83
Magnetization in μB/cell: 0.00



Entry 6:
A geometry-optimized Tl12HgPb6 structure, computed with PBE.

POSCAR file:
```
Tl12HgPb6
1.0
-5.271 -5.932 2.690
5.815 2.000 7.105
-4.640 3.521 7.374
Pb Tl Hg
6 12 1
direct
0.625 0.206 0.322
0.419 0.472 0.206
0.053 0.678 0.528
0.947 0.322 0.472
0.581 0.528 0.794
0.375 0.794 0.678
0.738 0.583 0.361
0.210 0.742 0.102
0.901 0.639 0.944
0.262 0.417 0.639
0.155 0.056 0.583
0.467 0.156 0.742
0.533 0.844 0.258
0.845 0.944 0.417
0.790 0.258 0.898
0.689 0.898 0.844
0.311 0.102 0.156
0.099 0.361 0.056
0.000 0.000 0.000
```

Results
E_form in eV/atom: 0.00
Fermi-level density of states in states/eV/cell: 7.23
Magnetization in μB/cell: 0.00



Entry 7:
A geometry-optimized TlHg2Pb structure, computed with PBE.

POSCAR file:
```
TlHg2Pb
1.0
3.384 0.015 0.000
-1.393 3.083 0.000
0.000 0.000 11.187
Hg Tl Pb
2 1 1
direct
0.000 0.000 0.009
0.500 0.500 0.242
0.500 0.500 0.757
0.000 0.000 0.492
```

Results
E_form in eV/atom: 0.02
Fermi-level density of states in states/eV/cell: 1.60
Magnetization in μB/cell: 0.00



Entry 8:
A geometry-optimized Tl2Hg6Pb3 structure, computed with PBE.

POSCAR file:
```
Tl2Hg6Pb3
1.0
-3.631 5.514 -4.764
-0.279 -2.419 -2.320
-10.789 -6.914 0.675
Hg Pb Tl
6 3 2
direct
0.631 0.606 0.089
0.369 0.394 0.911
0.903 0.135 0.280
0.170 0.357 0.446
0.097 0.865 0.720
0.830 0.643 0.554
0.000 0.000 0.000
0.268 0.207 0.185
0.732 0.793 0.815
0.559 0.454 0.365
0.441 0.546 0.635
```

Results
E_form in eV/atom: 0.02
Fermi-level density of states in states/eV/cell: 4.99
Magnetization in μB/cell: 0.00



Entry 9:
A geometry-optimized TlHg5Pb4 structure, computed with PBE.

POSCAR file:
```
TlHg5Pb4
1.0
-2.853 1.052 1.864
1.241 -1.717 2.869
10.813 18.250 6.247
Pb Hg Tl
4 5 1
direct
0.000 0.000 0.800
0.000 0.000 0.400
0.000 0.000 0.200
0.000 0.000 0.600
0.500 0.500 0.300
0.500 0.500 0.101
0.500 0.500 0.500
0.500 0.500 0.899
0.500 0.500 0.700
0.000 0.000 0.000
```

Results
E_form in eV/atom: 0.02
Fermi-level density of states in states/eV/cell: 4.30
Magnetization in μB/cell: 0.00



Entry 10:
A geometry-optimized Tl2HgPb2 structure, computed with PBE.

POSCAR file:
```
Tl2HgPb2
1.0
3.562 0.000 -0.571
-0.092 3.561 -0.571
0.092 0.094 11.959
Pb Tl Hg
2 2 1
direct
0.201 0.201 0.402
0.799 0.799 0.598
0.405 0.405 0.810
0.595 0.595 0.190
0.000 0.000 0.000
```

Results
E_form in eV/atom: -0.02
Fermi-level density of states in states/eV/cell: 1.77
Magnetization in μB/cell: 0.00



Entry 11:
A geometry-optimized Tl2HgPb2 structure, computed with PBE.

POSCAR file:
```
Tl2HgPb2
1.0
4.550 0.000 0.000
0.000 4.550 0.000
2.275 2.275 8.294
Hg Pb Tl
1 2 2
direct
0.000 0.000 0.000
0.250 0.750 0.500
0.750 0.250 0.500
0.403 0.403 0.193
0.597 0.597 0.807
```

Results
E_form in eV/atom: 0.11
Fermi-level density of states in states/eV/cell: 3.20
Magnetization in μB/cell: 0.00